[1]
Entry from Alexandria: a geometry-optimized NdHgC2O6 structure (GGA-PBE).

Geometry as POSCAR:
```
NdHgC2O6
1.0
4.550 -4.819 0.000
4.550 4.819 0.000
-3.168 0.000 6.645
Nd Hg C O
2 2 4 12
Direct
0.097 0.903 0.750
0.903 0.097 0.250
0.392 0.608 0.250
0.608 0.392 0.750
0.111 0.363 0.766
0.363 0.111 0.266
0.637 0.889 0.734
0.889 0.637 0.234
0.020 0.796 0.384
0.109 0.556 0.772
0.204 0.980 0.116
0.242 0.305 0.908
0.305 0.242 0.408
0.444 0.891 0.728
0.556 0.109 0.272
0.695 0.758 0.592
0.758 0.695 0.092
0.796 0.020 0.884
0.891 0.444 0.228
0.980 0.204 0.616
```

## Properties
**ρ**: 5.298 g/cm3
**Crystal system**: monoclinic
**ΔE_f (raw)**: -17.062 eV/f.u.
**Energy**: -0.258 Ha/atom
**Magnetization**: 0.00 μB per formula unit

[2]
Entry from Alexandria: a geometry-optimized Nd6Hg2CO structure (GGA-PBE).

Geometry as POSCAR:
```
Nd6Hg2CO
1.0
0.000 5.044 5.044
5.044 0.000 5.044
5.044 5.044 0.000
Nd Hg C O
6 2 1 1
Direct
0.248 0.248 0.752
0.248 0.752 0.248
0.248 0.752 0.752
0.752 0.248 0.248
0.752 0.248 0.752
0.752 0.752 0.248
0.250 0.250 0.250
0.750 0.750 0.750
0.000 0.000 0.000
0.500 0.500 0.500
```

## Properties
**ρ**: 8.379 g/cm3
**Crystal system**: cubic
**ΔE_f (raw)**: -7.976 eV/f.u.
**Energy**: -0.189 Ha/atom
**Magnetization**: 0.00 μB per formula unit

[3]
Entry from Alexandria: a geometry-optimized Nd2HgOsC structure (GGA-PBE).

Geometry as POSCAR:
```
Nd2HgOsC
1.0
5.280 0.000 0.000
0.000 5.280 0.000
0.000 0.000 3.932
Nd Hg Os C
2 1 1 1
Direct
0.000 0.500 0.000
0.500 0.000 0.000
0.000 0.000 0.500
0.500 0.500 0.500
0.500 0.500 0.000
```

## Properties
**ρ**: 10.471 g/cm3
**Crystal system**: tetragonal
**Energy**: -0.235 Ha/atom
**Magnetization**: 0.00 μB per formula unit
**Calculated formation energy**: -0.3265 eV/atom